(1)
First-principles (PBE) data for CsHoPa after structural relaxation, as listed in the Open Quantum Materials Database.

Energy above the most stable polymorph in this dataset ... 36 meV/atom

Lattice parameters (Å, degrees): 7.5103 7.5103 7.5103 90.00 90.00 90.00
Element x y z (fractional)
Cs 0.0000 0.0000 0.0000
Cs 0.0000 0.5000 0.5000
Cs 0.5000 0.0000 0.5000
Cs 0.5000 0.5000 0.0000
Ho 0.2500 0.2500 0.7500
Ho 0.2500 0.7500 0.2500
Ho 0.7500 0.2500 0.2500
Ho 0.7500 0.7500 0.7500
Pa 0.2500 0.2500 0.2500
Pa 0.2500 0.7500 0.7500
Pa 0.7500 0.2500 0.7500
Pa 0.7500 0.7500 0.2500

(2)
First-principles (PBE) data for NdTmSbBr2 after structural relaxation, as listed in the Open Quantum Materials Database.

Uncorrected energy ... -0.17640 hartree per atom

Lattice parameters (Å, degrees): 4.2628 4.2628 10.9105 90.00 90.00 120.00
Element x y z (fractional)
Nd 0.0000 0.0000 0.0000
Tm 0.3333 0.6667 0.3219
Sb 0.6667 0.3333 0.1713
Br 0.0000 0.0000 0.4738
Br 0.3333 0.6667 0.8352

(3)
First-principles (PBE) data for Nb2Si2Tc after structural relaxation, as listed in the Open Quantum Materials Database.

Energy above the most stable polymorph in this dataset ... 505 meV/atom

Lattice parameters (Å, degrees): 3.3788 3.3788 13.7936 90.00 90.00 90.00
Element x y z (fractional)
Nb 0.0000 0.0000 0.1053
Nb 0.0000 0.0000 0.8947
Nb 0.5000 0.5000 0.3947
Nb 0.5000 0.5000 0.6053
Si 0.0000 0.5000 0.2500
Si 0.0000 0.5000 0.7500
Si 0.5000 0.0000 0.2500
Si 0.5000 0.0000 0.7500
Tc 0.0000 0.0000 0.5000
Tc 0.5000 0.5000 0.0000

(4)
First-principles (PBE) data for SrZrNO after structural relaxation, as listed in the Open Quantum Materials Database.

Energy above the most stable polymorph in this dataset ... 1116 meV/atom

Lattice parameters (Å, degrees): 3.9805 3.9805 7.7150 90.00 90.00 90.00
Element x y z (fractional)
Sr 0.2500 0.7500 0.0000
Sr 0.7500 0.2500 0.0000
Zr 0.2500 0.2500 0.3823
Zr 0.7500 0.7500 0.6177
N 0.2500 0.2500 0.7917
N 0.7500 0.7500 0.2083
O 0.2500 0.7500 0.5000
O 0.7500 0.2500 0.5000

(5)
First-principles (PBE) data for CsBi2Pt2 after structural relaxation, as listed in the Open Quantum Materials Database.

Uncorrected energy ... -0.16452 hartree per atom

Lattice parameters (Å, degrees): 4.9486 4.9486 13.1997 90.00 90.00 90.00
Element x y z (fractional)
Cs 0.0000 0.0000 0.0000
Cs 0.5000 0.5000 0.5000
Bi 0.0000 0.0000 0.3416
Bi 0.0000 0.0000 0.6584
Bi 0.5000 0.5000 0.1584
Bi 0.5000 0.5000 0.8416
Pt 0.0000 0.5000 0.2500
Pt 0.0000 0.5000 0.7500
Pt 0.5000 0.0000 0.2500
Pt 0.5000 0.0000 0.7500

(6)
First-principles (PBE) data for GdHo3Pb2C2 after structural relaxation, as listed in the Open Quantum Materials Database.

Uncorrected energy ... -0.22136 hartree per atom

Lattice parameters (Å, degrees): 3.6349 3.6349 16.1456 90.00 90.00 120.00
Element x y z (fractional)
Gd 0.0000 0.0000 0.0000
Ho 0.0000 0.0000 0.6652
Ho 0.6667 0.3333 0.1662
Ho 0.6667 0.3333 0.5011
Pb 0.0000 0.0000 0.3334
Pb 0.6667 0.3333 0.8316
C 0.3333 0.6667 0.0849
C 0.3333 0.6667 0.5829

(7)
First-principles (PBE) data for Ag17Pb after structural relaxation, as listed in the Open Quantum Materials Database.

Uncorrected energy ... -0.10351 hartree per atom

Lattice parameters (Å, degrees): 5.8020 5.8020 30.5656 90.00 90.00 120.00
Element x y z (fractional)
Ag 0.0000 0.0000 0.0000
Ag 0.0000 0.0000 0.2355
Ag 0.0000 0.0000 0.7645
Ag 0.0000 0.5000 0.0000
Ag 0.0031 0.5016 0.2364
Ag 0.1667 0.3333 0.1571
Ag 0.1668 0.3335 0.6854
Ag 0.1668 0.3336 0.9214
Ag 0.1667 0.8333 0.1571
Ag 0.1668 0.8332 0.6854
Ag 0.1668 0.8332 0.9214
Ag 0.3333 0.1667 0.8429
Ag 0.3333 0.6667 0.0786
Ag 0.3333 0.6667 0.8422
Ag 0.3336 0.1668 0.0786
Ag 0.3335 0.1668 0.3146
Ag 0.4984 0.5016 0.2364
Ag 0.4984 0.9969 0.2364
Ag 0.5000 0.0000 0.0000
Ag 0.5000 0.5000 0.0000
Ag 0.5016 0.0031 0.7636
Ag 0.5016 0.4984 0.7636
Ag 0.6665 0.8332 0.6854
Ag 0.6664 0.8332 0.9214
Ag 0.6667 0.3333 0.1578
Ag 0.6667 0.3333 0.9214
Ag 0.6667 0.8333 0.1571
Ag 0.8332 0.1668 0.0786
Ag 0.8332 0.1668 0.3146
Ag 0.8333 0.1667 0.8429
Ag 0.8332 0.6664 0.0786
Ag 0.8332 0.6665 0.3146
Ag 0.8333 0.6667 0.8429
Ag 0.9969 0.4984 0.7636
Pb 0.3333 0.6667 0.3391
Pb 0.6667 0.3333 0.6609

(8)
First-principles (PBE) data for RbAuICl2 after structural relaxation, as listed in the Open Quantum Materials Database.

Uncorrected energy ... -0.10213 hartree per atom

Lattice parameters (Å, degrees): 7.3781 7.3781 8.3368 110.73 110.73 60.00
Element x y z (fractional)
Rb 0.2184 0.2184 0.1876
Rb 0.7816 0.7816 0.8124
Au 0.0000 0.0000 0.5000
Au 0.5000 0.5000 0.0000
I 0.2221 0.2221 0.6416
I 0.7779 0.7779 0.3584
Cl 0.2290 0.6795 0.1602
Cl 0.3205 0.7710 0.8398
Cl 0.6795 0.2290 0.1602
Cl 0.7710 0.3205 0.8398

Number 4 is which compound?
SrZrNO